A plane-wave DFT calculation with GGA-PBE was carried out for Sm3Er2Zn2 after structural relaxation.

Summary:
- energy above the most stable polymorph in this dataset (meV/atom) = 0.0

Unit cell a=12.934 b=3.718 c=9.081 alpha=90.00 beta=115.55 gamma=90.00
Space group C2/m (No. 12)
Symmetry-distinct sites (fractional):
1 Sm 0.000 0.000 0.000
2 Sm 0.108 0.000 0.439
3 Er 0.151 0.500 0.815
4 Zn 0.182 0.500 0.222